The following is a PBE-GGA calculation of an optimized crystal structure of Ba6SiAs2I3, from the Alexandria database.

SG   C2/m (12)
Uncorrected formation energy   -1235 meV/atom

Lattice parameters (Å, degrees): 8.426 8.426 8.924 99.07 99.07 120.03
Site moments in Bohr magnetons follow the coordinates.
Sites, in units of the cell vectors:
1 As 0.667 0.333 0.000  0.02
2 As 0.333 0.667 0.000  0.02
3 Si 0.000 0.000 0.000  0.20
4 Ba 0.732 0.732 0.206  0.02
5 Ba 0.932 0.594 0.794  0.02
6 Ba 0.068 0.406 0.206  0.02
7 Ba 0.594 0.932 0.794  0.02
8 Ba 0.406 0.068 0.206  0.02
9 Ba 0.268 0.268 0.794  0.02
10 I 0.167 0.833 0.500  0.00
11 I 0.500 0.500 0.500  0.00
12 I 0.833 0.167 0.500  0.00